This record from Alexandria describes an optimized crystal structure of K3Cd3Pt. The functional is GGA-PBE.

a b c (Å): 4.824 6.769 16.449
angles (deg): 84.14 81.57 69.12
Element x y z (fractional)
Cd (0.906, 0.110, 0.078)
Cd (0.803, 0.854, 0.540)
Cd (0.094, 0.890, 0.922)
Cd (0.061, 0.120, 0.757)
Cd (0.939, 0.880, 0.243)
Cd (0.197, 0.146, 0.460)
Pt (0.770, 0.074, 0.386)
Pt (0.230, 0.926, 0.614)
K (0.235, 0.282, 0.247)
K (0.485, 0.636, 0.393)
K (0.515, 0.364, 0.607)
K (0.614, 0.689, 0.083)
K (0.765, 0.718, 0.753)
K (0.386, 0.311, 0.917)

Computed properties:
Space group: C2/m
E_form, eV per atom: -0.14
Raw total energy, eV per cell: -26.09